Record 1
The following is a PBE calculation of crystalline CeNdP at its relaxed geometry, from Alexandria via LeMat-Bulk.

Summary:
**DFT formation energy**: -2.07 eV per formula unit

abc: 3.6198 3.6198 12.3499
angles: 90.00 90.00 90.00
Space group I4mm (No. 107)
One atom of each set of equivalent atoms:
Ce1 0.0000 0.0000 0.0000 [2 per cell]
Nd1 0.0000 0.0000 0.7447 [2 per cell]
P1 0.0000 0.0000 0.3780 [2 per cell]



Record 2
The following is a PBE calculation of crystalline BaTa2In at its relaxed geometry, from Alexandria via LeMat-Bulk.

Summary:
**DFT formation energy**: 3.01 eV per formula unit

abc: 3.2557 4.2889 7.6090
angles: 90.00 90.00 90.00
Space group Pmmm (No. 47)
One atom of each set of equivalent atoms:
Ba1 0.0000 0.0000 0.0000 [1 per cell]
Ta1 0.5000 0.5000 0.3334 [2 per cell]
In1 0.0000 0.0000 0.5000 [1 per cell]



Record 3
The following is a PBE calculation of crystalline Li2SbPt at its relaxed geometry, from Alexandria via LeMat-Bulk.

Summary:
**Uncorrected formation energy**: -510.2 meV/atom

abc: 2.9739 4.0665 5.5081
angles: 90.00 90.26 90.00
Space group P2/m (No. 10)
One atom of each set of equivalent atoms:
Li1 0.0029 0.0000 0.2742 [2 per cell]
Sb1 0.5000 0.5000 0.0000 [1 per cell]
Pt1 0.5000 0.5000 0.5000 [1 per cell]



Record 4
The following is a PBE calculation of crystalline Ni6Ge2B at its relaxed geometry, from Alexandria via LeMat-Bulk.

Summary:
**DFT formation energy**: -2.79 eV per formula unit

abc: 6.2255 6.2255 2.9469
angles: 90.00 90.00 120.00
Space group P-62m (No. 189)
One atom of each set of equivalent atoms:
Ni1 0.0000 0.2372 0.0000 [3 per cell]
Ni2 0.0000 0.6191 0.5000 [3 per cell]
Ge1 0.3333 0.6667 0.0000 [2 per cell]
B1 0.0000 0.0000 0.5000 [1 per cell]